## Tm12Tl5Pb2 (PBE)

Data for a geometry-optimized Tm12Tl5Pb2 structure.

Computed properties:
* ΔE_f: -1.142 eV/f.u.
* uncorrected energy: -3.90 eV/atom
* magnetization: 0.000 μB per formula unit
* crystal system: monoclinic
* N(E_F): 0.954 states/eV per atom
* SG: No. 12

a = 9.1251 Å, b = 9.1251 Å, c = 10.0482 Å
α = 97.92°, β = 97.92°, γ = 45.46°
Element x y z (fractional)
1 Tm 0.0121 0.0121 0.2994
2 Tm 0.0688 0.5725 0.8955
3 Tm 0.0929 0.6132 0.4505
4 Tm 0.3868 0.9071 0.5495
5 Tm 0.3989 0.3989 0.1885
6 Tm 0.4275 0.9312 0.1045
7 Tm 0.5725 0.0688 0.8955
8 Tm 0.6011 0.6011 0.8115
9 Tm 0.6132 0.0929 0.4505
10 Tm 0.9071 0.3868 0.5495
11 Tm 0.9312 0.4275 0.1045
12 Tm 0.9879 0.9879 0.7006
13 Tl 0.1676 0.1676 0.8215
14 Tl 0.2132 0.2132 0.3440
15 Tl 0.5000 0.5000 0.5000
16 Tl 0.7868 0.7868 0.6560
17 Tl 0.8324 0.8324 0.1785
18 Pb 0.2442 0.7558 0.0000
19 Pb 0.7558 0.2442 0.0000